No. 1
# Be2TePt

An optimized crystal structure of Be2TePt (PBE, Alexandria).

Values from the calculation:
Its crystal system is orthorhombic. The formation energy from raw total energies comes out at 0.013 eV/atom.

```
Be2TePt
1.0
-3.206 -3.221 -4.642
-3.579 -5.395 -0.535
1.472 5.292 3.469
Be Te Pt
2 1 1
Direct
0.998 0.998 0.000
0.659 0.159 0.500
0.304 0.804 0.500
0.540 0.540 0.000
```

***

No. 2
# BeTePt2

An optimized crystal structure of BeTePt2 (PBE, Alexandria).

Values from the calculation:
Its crystal system is tetragonal. The formation energy from raw total energies comes out at -0.096 eV/atom. The calculation puts the relative energy among the computed polymorphs at 243.6 meV per atom.

```
BeTePt2
1.0
-0.113 -4.829 -0.649
2.816 -0.595 3.932
-4.093 -3.101 5.482
Be Te Pt
2 2 4
Direct
0.500 0.500 0.000
0.250 0.750 0.500
0.000 0.000 0.000
0.750 0.250 0.500
0.542 0.125 0.250
0.208 0.625 0.250
0.375 0.458 0.750
0.875 0.792 0.750
```

***

No. 3
# Be3TePt

An optimized crystal structure of Be3TePt (PBE, Alexandria).

Values from the calculation:
Its crystal system is cubic. The formation energy from raw total energies comes out at 1.379 eV/atom. The calculation puts the relative energy among the computed polymorphs at 1131.2 meV per atom.

```
Be3TePt
1.0
-3.050 3.185 0.989
-2.009 -2.824 2.900
2.662 1.517 3.322
Be Te Pt
3 1 1
Direct
0.000 0.500 0.000
0.000 0.000 0.500
0.500 0.000 0.000
0.000 0.000 0.000
0.500 0.500 0.500
```

***

No. 4
# Be2TePt

An optimized crystal structure of Be2TePt (PBE, Alexandria).

Values from the calculation:
Its crystal system is orthorhombic. The formation energy from raw total energies comes out at 0.234 eV/atom.

```
Be2TePt
1.0
-0.647 -4.123 2.045
3.412 -0.181 3.150
-3.432 3.037 -0.774
Be Te Pt
2 1 1
Direct
0.987 0.987 0.000
0.513 0.513 0.000
0.250 0.750 0.500
0.750 0.250 0.500
```

***

No. 5
# BeTePt2

An optimized crystal structure of BeTePt2 (PBE, Alexandria).

Values from the calculation:
Its crystal system is cubic. The formation energy from raw total energies comes out at 0.286 eV/atom. The calculation puts the relative energy among the computed polymorphs at 625.4 meV per atom.

```
BeTePt2
1.0
-2.684 3.662 0.391
-1.703 1.985 -3.732
-4.450 -0.327 -0.926
Be Te Pt
1 1 2
Direct
0.500 0.500 0.500
0.250 0.250 0.250
0.000 0.000 0.000
0.750 0.750 0.750
```

***

No. 6
# BeTePt2

An optimized crystal structure of BeTePt2 (PBE, Alexandria).

Values from the calculation:
Its crystal system is monoclinic. The formation energy from raw total energies comes out at -0.174 eV/atom. The calculation puts the relative energy among the computed polymorphs at 165.0 meV per atom.

```
BeTePt2
1.0
4.085 0.000 0.000
0.000 4.167 0.048
0.000 0.371 4.245
Be Te Pt
1 1 2
Direct
0.500 0.744 0.966
0.000 0.531 0.453
0.000 0.980 0.872
0.500 0.245 0.208
```

***

No. 7
# Be2TePt

An optimized crystal structure of Be2TePt (PBE, Alexandria).

Values from the calculation:
Its crystal system is tetragonal. The formation energy from raw total energies comes out at 0.244 eV/atom.

```
Be2TePt
1.0
-0.783 -1.667 -3.693
2.388 -3.228 0.951
-2.769 -1.656 1.335
Be Te Pt
2 1 1
Direct
0.000 0.000 0.000
0.500 0.500 0.000
0.000 0.500 0.500
0.500 0.000 0.500
```

***

No. 8
# Be3TePt

An optimized crystal structure of Be3TePt (PBE, Alexandria).

Values from the calculation:
Its crystal system is cubic. The formation energy from raw total energies comes out at 0.248 eV/atom. The calculation puts the relative energy among the computed polymorphs at 0.0 meV per atom.

```
Be3TePt
1.0
4.383 0.000 0.000
0.000 4.383 0.000
0.000 0.000 4.383
Be Te Pt
3 1 1
Direct
0.000 0.500 0.000
0.000 0.000 0.500
0.500 0.000 0.000
0.500 0.500 0.500
0.000 0.000 0.000
```

***

No. 9
# BeTePt2

An optimized crystal structure of BeTePt2 (PBE, Alexandria).

Values from the calculation:
Its crystal system is tetragonal. The formation energy from raw total energies comes out at 0.068 eV/atom. The calculation puts the relative energy among the computed polymorphs at 407.4 meV per atom.

```
BeTePt2
1.0
-1.539 1.602 -3.659
-2.875 -3.169 -0.178
-2.336 2.015 1.864
Be Te Pt
1 1 2
Direct
0.000 0.500 0.500
0.500 0.000 0.500
0.000 0.000 0.000
0.500 0.500 0.000
```

***

No. 10
# BeTePt2

An optimized crystal structure of BeTePt2 (PBE, Alexandria).

Values from the calculation:
Its crystal system is orthorhombic. The formation energy from raw total energies comes out at 0.067 eV/atom. The calculation puts the relative energy among the computed polymorphs at 405.8 meV per atom.

```
BeTePt2
1.0
4.284 0.094 0.000
-0.526 4.253 0.000
0.000 0.000 3.623
Be Te Pt
1 1 2
Direct
0.000 0.500 0.500
0.500 0.000 0.500
0.000 0.000 0.000
0.500 0.500 0.000
```

***

No. 11
# BeTePt2

An optimized crystal structure of BeTePt2 (PBE, Alexandria).

Values from the calculation:
Its crystal system is trigonal. The formation energy from raw total energies comes out at -0.297 eV/atom. The calculation puts the relative energy among the computed polymorphs at 41.8 meV per atom.

```
BeTePt2
1.0
-1.839 5.258 2.622
-4.831 3.161 2.139
-2.578 2.529 4.986
Be Te Pt
1 1 2
Direct
0.750 0.750 0.750
0.250 0.250 0.250
0.028 0.028 0.028
0.472 0.472 0.472
```

***

No. 12
# Be2TePt

An optimized crystal structure of Be2TePt (PBE, Alexandria).

Values from the calculation:
Its crystal system is orthorhombic. The formation energy from raw total energies comes out at 0.267 eV/atom.

```
Be2TePt
1.0
-1.673 4.019 -0.539
0.258 -1.635 -4.062
-2.964 -1.195 0.293
Be Te Pt
2 1 1
Direct
0.000 0.000 0.000
0.500 0.500 0.000
0.000 0.500 0.500
0.500 0.000 0.500
```

***

No. 13
# BeTePt2

An optimized crystal structure of BeTePt2 (PBE, Alexandria).

Values from the calculation:
Its crystal system is tetragonal. The formation energy from raw total energies comes out at -0.121 eV/atom. The calculation puts the relative energy among the computed polymorphs at 218.3 meV per atom.

```
BeTePt2
1.0
3.474 0.000 0.000
0.000 3.484 0.000
0.000 0.000 5.570
Be Te Pt
1 1 2
Direct
0.500 0.500 0.848
0.000 0.000 0.462
0.000 0.000 0.937
0.500 0.500 0.254
```

***

No. 14
# Be2TePt

An optimized crystal structure of Be2TePt (PBE, Alexandria).

Values from the calculation:
Its crystal system is tetragonal. The formation energy from raw total energies comes out at 0.024 eV/atom.

```
Be2TePt
1.0
3.263 0.000 0.000
0.000 3.263 0.000
0.000 0.000 6.092
Be Te Pt
2 1 1
Direct
0.000 0.000 0.028
0.500 0.500 0.267
0.500 0.500 0.824
0.000 0.000 0.381
```

***

No. 15
# Be2TePt

An optimized crystal structure of Be2TePt (PBE, Alexandria).

Values from the calculation:
Its crystal system is cubic. The formation energy from raw total energies comes out at 0.501 eV/atom.

```
Be2TePt
1.0
-4.162 -0.690 -1.496
-3.151 -1.543 2.779
-3.328 2.685 1.323
Be Te Pt
2 1 1
Direct
0.000 0.000 0.000
0.250 0.250 0.250
0.750 0.750 0.750
0.500 0.500 0.500
```